Crystalline RbTiMnF6 at its relaxed geometry, computed with GGA+U.

Structure (extended XYZ):
```
18
Lattice="-3.7535 3.8572 5.3827 3.7535 -3.8572 5.3827 3.7535 3.8572 -5.3827" Properties=species:S:1:pos:R:3 pbc="T T T"
Rb 0.0000 1.9286 1.1753
Rb 3.7535 1.9286 4.2075
Ti 3.7535 0.0000 0.0000
Ti 0.0000 0.0000 5.3827
Mn 1.8768 1.9286 -2.6914
Mn 1.8768 -1.9286 2.6914
F 3.7535 -1.9286 3.6136
F 2.3392 -0.2889 1.3467
F 5.1678 -0.2889 1.3467
F 3.7535 1.9286 0.4613
F 2.3392 3.5683 -1.3467
F 1.4143 -0.2889 4.0361
F 2.3392 4.1461 1.3467
F 1.4143 0.2889 6.7294
F 0.0000 1.9286 4.9214
F -1.4143 4.1461 4.0361
F 1.4143 4.1461 4.0361
F 0.0000 5.7857 1.7691
```

## Properties
* DFT total energy: -6.084 eV/atom
* V: 17.3 A^3/atom
* space group: Imma, No. 74